The following is a DFT calculation (PBE-GGA) of a geometry-optimized La3Ga4Ni7 structure.

magnetic moment: 0.0 μB/f.u.
formation energy from the elements: -485 meV per atom

Cell lengths 4.139, 8.275, 7.651 Å; angles 72.42, 74.31, 75.52 degrees
Fractional positions:
Ni  0.000  0.000  0.000
Ni  0.668  0.217  0.447
Ni  0.332  0.783  0.553
Ga  0.678  0.488  0.157
Ni  0.505  0.204  0.786
La  0.000  0.500  0.500
Ni  0.495  0.796  0.214
Ga  0.322  0.512  0.843
La  0.682  0.822  0.814
Ni  0.107  0.672  0.113
Ga  0.123  0.108  0.645
Ga  0.877  0.892  0.355
Ni  0.893  0.328  0.887
La  0.318  0.178  0.186

The following is a DFT calculation (PBE-GGA) of a geometry-optimized BeSiC3 structure.

formation energy without anion corrections: 12.2 eV/f.u.
magnetic moment: 0.0 μB/f.u.
distance to the lowest polymorph of the same formula: 1.110 eV/f.u.

Cell lengths 3.583, 3.583, 3.583 Å; angles 90.00, 90.00, 90.00 degrees
Fractional positions:
Si  0.500  0.500  0.500
Be  0.000  0.000  0.000
C  0.500  0.000  0.000
C  0.000  0.500  0.000
C  0.000  0.000  0.500

The following is a DFT calculation (PBE-GGA) of a geometry-optimized LaZr2Al structure.

magnetic moment: 0.0 μB/f.u.
formation energy from the elements: -82 meV per atom

Cell lengths 3.293, 3.909, 7.426 Å; angles 90.00, 90.00, 90.00 degrees
Fractional positions:
Al  0.500  0.500  0.250
La  0.500  0.500  0.750
Zr  0.000  0.000  0.453
Zr  0.000  0.000  0.047

The following is a DFT calculation (PBE-GGA) of a geometry-optimized Tb8CuTc2 structure.

magnetic moment: 0.0 μB/f.u.
formation energy from the elements: 1 meV per atom

Cell lengths 5.891, 7.673, 7.673 Å; angles 112.66, 100.66, 100.66 degrees
Fractional positions:
Tc  0.480  0.693  0.313
Tb  0.587  0.348  0.082
Tb  0.990  0.788  0.220
Tb  0.787  0.630  0.630
Tc  0.480  0.313  0.693
Tb  0.990  0.220  0.788
Tb  0.184  0.369  0.369
Cu  0.144  0.998  0.998
Tb  0.386  0.664  0.928
Tb  0.587  0.082  0.348
Tb  0.386  0.928  0.664

The following is a DFT calculation (PBE-GGA) of a geometry-optimized Ba2Li3Bi4Pb structure.

magnetic moment: 0.0 μB/f.u.
formation energy from the elements: -607 meV per atom

Cell lengths 5.005, 5.005, 12.654 Å; angles 90.00, 90.00, 90.00 degrees
Fractional positions:
Ba  0.500  0.000  0.231
Bi  0.000  0.000  0.000
Li  0.000  0.500  0.120
Li  0.000  0.000  0.500
Bi  0.500  0.500  0.000
Bi  0.000  0.500  0.341
Ba  0.000  0.500  0.769
Pb  0.500  0.500  0.500
Bi  0.500  0.000  0.659
Li  0.500  0.000  0.880

The following is a DFT calculation (PBE-GGA) of a geometry-optimized VAgSe2 structure.

formation energy without anion corrections: 1.3 eV/f.u.
magnetic moment: 2.4 μB/f.u.

Cell lengths 8.228, 8.228, 8.228 Å; angles 26.90, 26.90, 26.90 degrees
Site moments in Bohr magnetons follow the coordinates.
Fractional positions:
V  0.000  0.000  0.000  2.29
Se  0.901  0.901  0.901  -0.13
Se  0.099  0.099  0.099  -0.13
Ag  0.500  0.500  0.500  -0.06

The following is a DFT calculation (PBE-GGA) of a geometry-optimized KLi2Ti structure.

magnetic moment: 3.0 μB/f.u.
distance to the lowest polymorph of the same formula: 0.311 eV/f.u.
formation energy from the elements: 855 meV per atom

Cell lengths 8.270, 8.270, 6.780 Å; angles 52.42, 52.42, 90.00 degrees
Site moments in Bohr magnetons follow the coordinates.
Fractional positions:
Li  0.098  0.625  0.250  0.04
Ti  0.000  0.000  0.000  1.93
Ti  0.750  0.250  0.500  1.93
Li  0.375  0.348  0.750  0.04
K  0.250  0.750  0.500  0.02
K  0.500  0.500  0.000  0.02
Li  0.652  0.125  0.250  0.04
Li  0.875  0.902  0.750  0.04

The following is a DFT calculation (PBE-GGA) of a geometry-optimized Tm2Ge6Pt structure.

magnetic moment: 0.0 μB/f.u.
formation energy from the elements: -506 meV per atom

Cell lengths 11.106, 11.106, 4.069 Å; angles 90.00, 90.00, 159.02 degrees
Fractional positions:
Tm  0.777  0.223  0.500
Ge  0.243  0.757  0.000
Pt  0.560  0.440  0.000
Ge  0.671  0.329  0.000
Tm  0.118  0.882  0.500
Ge  0.492  0.508  0.500
Ge  0.876  0.124  0.000
Ge  0.377  0.623  0.500
Ge  0.992  0.008  0.000

The following is a DFT calculation (PBE-GGA) of a geometry-optimized Ta2Zn2W structure.

magnetic moment: 0.0 μB/f.u.
formation energy from the elements: 138 meV per atom

Cell lengths 6.793, 6.793, 3.464 Å; angles 90.00, 90.00, 90.00 degrees
Fractional positions:
Zn  0.877  0.623  0.000
Zn  0.377  0.877  0.000
Ta  0.320  0.180  0.500
Zn  0.623  0.123  0.000
Ta  0.680  0.820  0.500
Zn  0.123  0.377  0.000
Ta  0.180  0.680  0.500
W  0.000  0.000  0.000
Ta  0.820  0.320  0.500
W  0.500  0.500  0.000